# Ta2OsSe, relaxed, DFT PBE-GGA
data_Ta2OsSe
_cell_length_a 3.038
_cell_length_b 3.931
_cell_length_c 5.636
_cell_angle_alpha 90.00
_cell_angle_beta 90.00
_cell_angle_gamma 90.00
_space_group_name_H-M_alt 'P m m m'
_space_group_IT_number 47
loop_
_space_group_symop_operation_xyz
'x,y,z'
'-x,-y,-z'
'-x,-y,z'
'x,y,-z'
'x,-y,-z'
'-x,y,z'
'-x,y,-z'
'x,-y,z'
loop_
_atom_site_label
_atom_site_fract_x
_atom_site_fract_y
_atom_site_fract_z
_atom_site_occupancy
Ta1 0.000 0.000 0.239 1
Os1 0.500 0.500 0.000 1
Se1 0.500 0.500 0.500 1
# - total energy (eV per atom) = -9.551
# - energy relative to the elements, uncorrected (eV/atom) = 0.05
# - total magnetic moment (μB/cell) = 0.0
# - crystal system = orthorhombic